{"formula": "P2PtAu", "functional": "PBE-GGA", "state": "optimized geometry", "de_polymorph_mev_per_atom": 160.6, "space_group": "R3m, No. 160", "formation_enthalpy_0k_mev_per_atom": -35, "lattice_angstrom": [[1.693, 0.977, 6.546], [-1.693, 0.977, 6.546], [0.000, -1.955, 6.546]], "species": ["P", "P", "Pt", "Au"], "frac_coords": [[0.000, 0.000, 0.000], [0.257, 0.257, 0.257], [0.736, 0.736, 0.736], [0.508, 0.508, 0.508]]}